{
  "formula": "Eu2InRu",
  "functional": "PBE",
  "state": "optimized geometry",
  "lattice_angstrom": [[3.537, 0.000, 0.000], [0.000, 3.537, 0.000], [0.000, 0.000, 8.155]],
  "species": ["Eu", "Eu", "Ru", "In"],
  "fractional_positions": [[0.000, 0.000, 0.209], [0.000, 0.000, 0.791], [0.500, 0.500, 0.000], [0.500, 0.500, 0.500]],
  "e_form_kcal_per_mol_atoms": -1.77,
  "m_tot_mub_per_cell": 13.4
}

---

{
  "formula": "EuIn3Ru",
  "functional": "PBE",
  "state": "optimized geometry",
  "lattice_angstrom": [[-0.724, -4.991, -1.071], [2.564, -1.290, 4.282], [-4.414, 0.069, 2.663]],
  "species": ["In", "In", "In", "Eu", "Ru"],
  "fractional_positions": [[0.500, 0.000, 0.000], [0.000, 0.000, 0.500], [0.000, 0.500, 0.000], [0.500, 0.500, 0.500], [0.000, 0.000, 0.000]],
  "e_form_kcal_per_mol_atoms": -4.02,
  "m_tot_mub_per_cell": 7.8
}

---

{
  "formula": "SmEuInRu",
  "functional": "PBE",
  "state": "optimized geometry",
  "lattice_angstrom": [[5.186, 0.000, 0.000], [2.593, 4.491, 0.000], [2.593, 1.497, 4.234]],
  "species": ["Ru", "Eu", "Sm", "In"],
  "fractional_positions": [[0.000, 0.000, 0.000], [0.750, 0.750, 0.750], [0.250, 0.250, 0.250], [0.500, 0.500, 0.500]],
  "e_form_kcal_per_mol_atoms": -2.58,
  "m_tot_mub_per_cell": 6.6
}

---

{
  "formula": "TbEuInRu",
  "functional": "PBE",
  "state": "optimized geometry",
  "lattice_angstrom": [[5.142, 0.000, 0.000], [2.571, 4.453, 0.000], [2.571, 1.484, 4.198]],
  "species": ["Eu", "Tb", "In", "Ru"],
  "fractional_positions": [[0.000, 0.000, 0.000], [0.500, 0.500, 0.500], [0.750, 0.750, 0.750], [0.250, 0.250, 0.250]],
  "e_form_kcal_per_mol_atoms": -3.10,
  "m_tot_mub_per_cell": 6.6
}